Version one
Entry from the Alexandria database: an optimized crystal structure of La2Pr3Th (PBE).

Lattice parameters (Å, degrees): 8.648 3.679 13.612 90.00 90.15 90.00
Space group P2_1/m (No. 11)
Asymmetric unit:
La 0.094 0.250 0.389 (multiplicity 2)
La 0.347 0.750 0.938 (multiplicity 2)
Pr 0.094 0.250 0.110 (multiplicity 2)
Pr 0.349 0.750 0.562 (multiplicity 2)
Pr 0.408 0.750 0.250 (multiplicity 2)
Th 0.179 0.250 0.749 (multiplicity 2)

Calculated values
total magnetization	0.00	μB/cell

Version two
Entry from the Alexandria database: an optimized crystal structure of La2Pr3Th (PBE).

Lattice parameters (Å, degrees): 17.188 7.194 7.199 90.00 102.06 90.00
Space group C2/c (No. 15)
Asymmetric unit:
La 0.158 0.001 0.079 (multiplicity 8)
Pr 0.000 0.242 0.750 (multiplicity 4)
Pr 0.146 0.499 0.573 (multiplicity 8)
Th 0.000 0.243 0.250 (multiplicity 4)

Calculated values
total magnetization	0.00	μB/cell

Result of the stability comparison: version two is the least stable of them.

Version one
Entry from the Alexandria database: an optimized crystal structure of LaPrTh (PBE).

Lattice parameters (Å, degrees): 3.6504 3.6504 18.1368 90.00 90.00 120.00
Space group P-3m1 (No. 164)
Asymmetric unit:
La 0.3333 0.6667 0.4169 (multiplicity 2)
Pr 0.0000 0.0000 0.2405 (multiplicity 2)
Th 0.3333 0.6667 0.9223 (multiplicity 2)

Calculated values
total magnetization	0.00	μB/cell

Version two
Entry from the Alexandria database: an optimized crystal structure of LaPrTh (PBE).

Lattice parameters (Å, degrees): 4.326 4.326 11.295 90.00 90.00 90.00
Space group P4/nmm (No. 129, origin choice 2)
Asymmetric unit:
La 0.250 0.250 0.228 (multiplicity 2)
Pr 0.250 0.250 0.591 (multiplicity 2)
Th 0.250 0.250 0.928 (multiplicity 2)

Calculated values
total magnetization	0.01	μB/cell

Result of the stability comparison: version two is the least stable of them.